No. 1
A geometry-optimized AcRe2Ge7 structure, computed with PBE-GGA.

Computed properties:
volume	22.77	Å³ per atom
DFT formation energy	0.107	eV per atom
DFT total energy	-6.03	eV/atom

a b c (Å): 6.8892 6.8892 4.8747
angles (deg): 90.00 90.00 100.20
Last column: nearest neighbours and their distance in Å.
Atoms (fractional coordinates):
Ac  0.0000  0.0000  0.0000  10 Ge 3.26-3.37
Re  0.2753  0.7247  0.5000  5 Ge 2.38-2.58
Re  0.7247  0.2753  0.5000  5 Ge 2.38-2.58
Ge  0.1049  0.3407  0.5000  2 Ge 2.49-2.75, 2 Re 2.58-2.70
Ge  0.3083  0.6917  0.0000  2 Re 2.46
Ge  0.3407  0.1049  0.5000  2 Ge 2.49-2.75, 2 Re 2.58-2.70
Ge  0.5000  0.5000  0.5000  2 Re 2.38
Ge  0.6593  0.8951  0.5000  2 Ge 2.49-2.75, 2 Re 2.58-2.70
Ge  0.6917  0.3083  0.0000  2 Re 2.46
Ge  0.8951  0.6593  0.5000  2 Ge 2.49-2.75, 2 Re 2.58-2.70

=====

No. 2
A geometry-optimized BaZnSiAu2 structure, computed with PBE-GGA.

Computed properties:
volume	24.64	Å³ per atom
DFT total energy	-3.35	eV/atom

a b c (Å): 5.0411 5.0411 4.8477
angles (deg): 90.00 90.00 90.00
Last column: nearest neighbours and their distance in Å.
Atoms (fractional coordinates):
Ba  0.0000  0.0000  0.0000  8 Au 3.50, 4 Zn 3.56
Zn  0.5000  0.5000  0.0000  2 Si 2.42
Si  0.5000  0.5000  0.5000  2 Zn 2.42, 4 Au 2.52
Au  0.0000  0.5000  0.5000  2 Si 2.52
Au  0.5000  0.0000  0.5000  2 Si 2.52

=====

No. 3
A geometry-optimized RbY3Ta structure, computed with PBE-GGA.

Computed properties:
volume	37.79	Å³ per atom
energy above the lowest structure with this stoichiometry	0.0	meV/atom
DFT formation energy	0.678	eV per atom
DFT total energy	-5.76	eV/atom

a b c (Å): 5.7381 5.7381 5.7381
angles (deg): 90.00 90.00 90.00
Last column: nearest neighbours and their distance in Å.
Atoms (fractional coordinates):
Rb  0.0000  0.0000  0.0000  12 Y 4.06
Y  0.0000  0.5000  0.5000  2 Ta 2.87
Y  0.5000  0.0000  0.5000  2 Ta 2.87
Y  0.5000  0.5000  0.0000  2 Ta 2.87
Ta  0.5000  0.5000  0.5000  6 Y 2.87

=====

No. 4
A geometry-optimized Nd6MgHg5 structure, computed with PBE-GGA.

Computed properties:
volume	28.36	Å³ per atom
DFT formation energy	-0.409	eV per atom
DFT total energy	-3.05	eV/atom

a b c (Å): 5.4122 7.6991 8.6081
angles (deg): 90.00 108.39 90.00
Last column: nearest neighbours and their distance in Å.
Atoms (fractional coordinates):
Nd  0.0000  0.2436  0.0000  6 Hg 3.23-3.29, 2 Mg 3.35
Nd  0.0000  0.7564  0.0000  6 Hg 3.23-3.29, 2 Mg 3.35
Nd  0.3315  0.2514  0.6607  7 Hg 3.32-3.42, 1 Mg 3.37
Nd  0.3315  0.7486  0.6607  7 Hg 3.32-3.42, 1 Mg 3.37
Nd  0.6685  0.2514  0.3393  7 Hg 3.32-3.42, 1 Mg 3.37
Nd  0.6685  0.7486  0.3393  7 Hg 3.32-3.42, 1 Mg 3.37
Mg  0.5000  0.5000  0.0000  8 Nd 3.35-3.37, 4 Hg 3.72-3.73
Hg  0.1553  0.5000  0.3134  8 Nd 3.23-3.42
Hg  0.1634  0.0000  0.3300  8 Nd 3.28-3.33
Hg  0.5000  0.0000  0.0000  8 Nd 3.29-3.38
Hg  0.8366  0.0000  0.6700  8 Nd 3.28-3.33
Hg  0.8447  0.5000  0.6866  8 Nd 3.23-3.42

=====

No. 5
A geometry-optimized ZrMn2Te structure, computed with PBE-GGA.

Computed properties:
volume	17.87	Å³ per atom
DFT total energy	-7.46	eV/atom

a b c (Å): 5.1507 5.1507 4.4097
angles (deg): 114.80 114.80 43.22
Last column: nearest neighbours and their distance in Å.
Atoms (fractional coordinates):
Zr  0.0000  0.0000  0.0000  8 Mn 2.85-3.10, 4 Te 2.91
Mn  0.2518  0.2518  0.7518  4 Zr 2.85-3.10, 4 Te 2.87-3.08, 4 Mn 2.91
Mn  0.7482  0.7482  0.2482  4 Zr 2.85-3.10, 4 Te 2.87-3.08, 4 Mn 2.91
Te  0.5000  0.5000  0.5000  8 Mn 2.87-3.08, 4 Zr 2.91

=====

- What is the DFT total energy in the second record?
  -3.35 eV/atom

=====

- DFT total energy of number 1 (AcRe2Ge7)?
  -6.03 eV/atom